(1)
Compound: LiZn2Ni
Source: Alexandria via LeMat-Bulk
Functional: SCAN
Structure: single point on PBEsol structure

## Properties
* ΔE to the lowest computed polymorph: 0.0 kJ per mole of atoms

CIF file:
```
data_LiZn2Ni
_cell_length_a 5.7756
_cell_length_b 5.7756
_cell_length_c 5.7756
_cell_angle_alpha 90.00
_cell_angle_beta 90.00
_cell_angle_gamma 90.00
_symmetry_space_group_name_H-M 'F m -3 m'
_symmetry_Int_Tables_number 225
_symmetry_space_group_name_Hall '-F 4 2 3'
loop_
_atom_site_label
_atom_site_type_symbol
_atom_site_fract_x
_atom_site_fract_y
_atom_site_fract_z
Li1 Li 0.0000 0.0000 0.0000
Zn1 Zn 0.2500 0.2500 0.2500
Ni1 Ni 0.0000 0.0000 0.5000
```

(2)
Compound: LiZnNi2
Source: Alexandria via LeMat-Bulk
Functional: SCAN
Structure: single point on PBEsol structure

CIF file:
```
data_LiZnNi2
_cell_length_a 8.3967
_cell_length_b 2.5096
_cell_length_c 4.3256
_cell_angle_alpha 90.00
_cell_angle_beta 99.84
_cell_angle_gamma 90.00
_symmetry_space_group_name_H-M 'C 1 m 1'
_symmetry_Int_Tables_number 8
_symmetry_space_group_name_Hall 'C -2y'
loop_
_atom_site_label
_atom_site_type_symbol
_atom_site_fract_x
_atom_site_fract_y
_atom_site_fract_z
Li1 Li 0.0000 0.0000 0.0000
Zn1 Zn 0.2391 0.0000 0.7410
Ni1 Ni 0.2567 0.5000 0.2532
Ni2 Ni 0.4937 0.0000 0.4867
```

Formation enthalpy at 0 K (kcal/mol of atoms)
-5.7; -1.7